## K2InCoH6 (PBE)

Data for a geometry-optimized K2InCoH6 structure.

Cell lengths 5.604, 5.604, 5.604 Å; angles 120.09, 120.00, 89.93 degrees
Fractional positions:
K 0.250 0.250 0.000
K 0.750 0.750 0.000
In 0.500 0.000 0.500
Co 0.000 0.500 0.500
H 0.200 0.297 0.497
H 0.200 0.703 0.903
H 0.201 0.701 0.500
H 0.799 0.299 0.500
H 0.800 0.297 0.097
H 0.800 0.703 0.503

Calculated values
The space group is Immm, No. 71.

## La6In2CoH (PBE)

Data for a geometry-optimized La6In2CoH structure.

Cell lengths 7.325, 7.347, 7.510 Å; angles 119.27, 119.05, 90.12 degrees
Fractional positions:
La 0.206 0.280 0.495
La 0.262 0.262 0.019
La 0.285 0.789 0.500
La 0.715 0.211 0.500
La 0.738 0.738 0.981
La 0.794 0.720 0.505
In 0.249 0.750 0.999
In 0.751 0.250 0.001
Co 0.000 0.000 0.500
H 0.500 0.500 0.500

Calculated values
The density of states at the Fermi level is 10.80 states/eV/f.u. The space group is P-1, No. 2.

## La2InCoH (PBE)

Data for a geometry-optimized La2InCoH structure.

Cell lengths 5.349, 5.349, 3.775 Å; angles 90.00, 90.00, 90.00 degrees
Fractional positions:
La 0.000 0.500 0.000
La 0.500 0.000 0.000
In 0.000 0.000 0.500
Co 0.500 0.500 0.500
H 0.500 0.500 0.000

Calculated values
The density of states at the Fermi level is 3.44 states/eV/f.u. The space group is P4/mmm, No. 123.

## LaInCo2H8 (PBE)

Data for a geometry-optimized LaInCo2H8 structure.

Cell lengths 4.351, 4.351, 6.667 Å; angles 90.00, 90.00, 120.00 degrees
Fractional positions:
La 0.000 0.000 0.000
In 0.000 0.000 0.500
Co 0.333 0.667 0.701
Co 0.667 0.333 0.299
H 0.047 0.647 0.279
H 0.333 0.667 0.930
H 0.353 0.400 0.279
H 0.400 0.047 0.721
H 0.600 0.953 0.279
H 0.647 0.600 0.721
H 0.667 0.333 0.070
H 0.953 0.353 0.721

Calculated values
The density of states at the Fermi level is 3.69 states/eV/f.u. The space group is P-3, No. 147.

## LiInCo2H (PBE)

Data for a geometry-optimized LiInCo2H structure.

Cell lengths 3.696, 3.696, 3.997 Å; angles 90.00, 90.00, 90.00 degrees
Fractional positions:
Li 0.000 0.000 0.000
In 0.500 0.500 0.000
Co 0.000 0.500 0.500
Co 0.500 0.000 0.500
H 0.000 0.000 0.500

Calculated values
The density of states at the Fermi level is 6.26 states/eV/f.u. The space group is P4/mmm, No. 123.

## Li2InCoH (PBE)

Data for a geometry-optimized Li2InCoH structure.

Cell lengths 3.973, 3.973, 3.698 Å; angles 90.00, 90.00, 90.00 degrees
Fractional positions:
Li 0.000 0.500 0.000
Li 0.500 0.000 0.000
In 0.000 0.000 0.500
Co 0.500 0.500 0.500
H 0.500 0.500 0.000

Calculated values
The density of states at the Fermi level is 3.17 states/eV/f.u. The space group is P4/mmm, No. 123.

## Li2InCoH6 (PBE)

Data for a geometry-optimized Li2InCoH6 structure.

Cell lengths 4.381, 4.381, 5.533 Å; angles 90.00, 90.00, 120.00 degrees
Fractional positions:
Li 0.333 0.667 0.131
Li 0.667 0.333 0.869
In 0.000 0.000 0.500
Co 0.000 0.000 0.000
H 0.173 0.345 0.852
H 0.173 0.827 0.852
H 0.345 0.173 0.148
H 0.655 0.827 0.852
H 0.827 0.173 0.148
H 0.827 0.655 0.148

Calculated values
The density of states at the Fermi level is 0.64 states/eV/f.u. The space group is P-3m1, No. 164.

## Mg2InCoH (PBE)

Data for a geometry-optimized Mg2InCoH structure.

Cell lengths 4.536, 4.536, 3.500 Å; angles 90.00, 90.00, 90.00 degrees
Fractional positions:
Mg 0.000 0.500 0.000
Mg 0.500 0.000 0.000
In 0.000 0.000 0.500
Co 0.500 0.500 0.500
H 0.500 0.500 0.000

Calculated values
The density of states at the Fermi level is 1.83 states/eV/f.u. The space group is P4/mmm, No. 123.

## MnInCo2H (PBE)

Data for a geometry-optimized MnInCo2H structure.

Cell lengths 3.881, 3.881, 3.700 Å; angles 90.00, 90.00, 90.00 degrees
Fractional positions:
Mn 0.000 0.000 0.000
In 0.500 0.500 0.000
Co 0.000 0.500 0.500
Co 0.500 0.000 0.500
H 0.000 0.000 0.500

Calculated values
The density of states at the Fermi level is 3.31 states/eV/f.u. The space group is P4/mmm, No. 123. For the offset from the most stable computed form, the calculation gives 0 meV/atom.

## MnInCo2H (PBE)

Data for a geometry-optimized MnInCo2H structure.

Cell lengths 3.794, 3.794, 4.024 Å; angles 90.00, 90.00, 90.00 degrees
Fractional positions:
Mn 0.000 0.000 0.000
In 0.500 0.500 0.000
Co 0.000 0.500 0.500
Co 0.500 0.000 0.500
H 0.500 0.500 0.500

Calculated values
The density of states at the Fermi level is 3.79 states/eV/f.u. The space group is P4/mmm, No. 123. For the offset from the most stable computed form, the calculation gives 263 meV/atom.

## MnInCoH2 (PBE)

Data for a geometry-optimized MnInCoH2 structure.

Cell lengths 3.523, 3.523, 5.780 Å; angles 90.00, 90.00, 90.00 degrees
Fractional positions:
Mn 0.000 0.000 0.000
In 0.000 0.000 0.500
Co 0.500 0.500 0.500
H 0.000 0.500 0.000
H 0.500 0.000 0.000

Calculated values
The density of states at the Fermi level is 5.96 states/eV/f.u. The space group is P4/mmm, No. 123.

| no. | E (eV for the cell shown) |
| --- | --- |
| 1 | -33.09 |
| 2 | -48.65 |
| 3 | -24.19 |
| 4 | -48.82 |
| 5 | -22.26 |
| 6 | -17.46 |
| 7 | -34.63 |
| 8 | -16.33 |
| 9 | -29.33 |
| 10 | -28.02 |
| 11 | -22.58 |